This record from the Alexandria database describes CaLa2VO6 after structural relaxation. The functional is PBE with a Hubbard U.

The structure in POSCAR format:
```
CaLa2VO6
1.0
-1.3322 -5.3769 1.3037
4.2595 -3.5013 1.4084
0.4247 -1.5704 5.4534
O La V Ca
6 2 1 1
Cartesian
2.9385 -4.8572 5.9664 O
3.3192 -3.9720 3.0786 O
0.4472 -3.4662 4.9048 O
0.0328 -6.4767 5.0869 O
0.4136 -5.5915 2.1990 O
2.9048 -6.9825 3.2606 O
0.7974 -2.4855 1.9424 La
2.5546 -7.9632 6.2231 La
0.0000 0.0000 0.0000 V
1.6760 -5.2243 4.0827 Ca
```

## Properties
Theoretical density, g/cm³: 5.618
Energy relative to the lowest polymorph listed for this composition, eV per atom: 0.027